1.
First-principles (PBE-GGA) data for an optimized crystal structure of Zr3Sb2H, as listed in Alexandria.

Calculated values
distance to the lowest polymorph of the same formula = 0 meV/atom
size of the total moment = 0.00 μB/cell
electronic total energy = -0.5037 Ry/atom
density = 7.2 g/cm3

a = 4.0370 Å, b = 7.3843 Å, c = 16.0487 Å
α = 90.00°, β = 90.00°, γ = 90.00°
Closest atoms and distances in Å follow each position.
Fractional coordinates of all 24 atoms:
Zr1 0.2500 0.6268 0.9365  1 H 2.13
Zr2 0.7500 0.2097 0.2711  1 H 2.17
Zr3 0.7500 0.9666 0.8771  2 H 2.18
Zr4 0.2500 0.2903 0.7711  1 H 2.17
Zr5 0.2500 0.0334 0.1229  2 H 2.18
Zr6 0.7500 0.4666 0.6229  2 H 2.18
Zr7 0.2500 0.5334 0.3771  2 H 2.18
Zr8 0.7500 0.8732 0.4365  1 H 2.13
Zr9 0.7500 0.3732 0.0635  1 H 2.13
Zr10 0.2500 0.7903 0.7289  1 H 2.17
Zr11 0.7500 0.7097 0.2289  1 H 2.17
Zr12 0.2500 0.1268 0.5635  1 H 2.13
Sb1 0.2500 0.4383 0.1944  8 Zr 2.90-3.20, 2 H 3.13
Sb2 0.2500 0.9383 0.3056  8 Zr 2.90-3.20, 2 H 3.13
Sb3 0.2500 0.2275 0.9511  7 Zr 2.91-3.11, 1 H 3.07
Sb4 0.7500 0.0617 0.6944  8 Zr 2.90-3.20, 2 H 3.13
Sb5 0.2500 0.7275 0.5489  7 Zr 2.91-3.11, 1 H 3.07
Sb6 0.7500 0.5617 0.8056  8 Zr 2.90-3.20, 2 H 3.13
Sb7 0.7500 0.2725 0.4511  7 Zr 2.91-3.11, 1 H 3.07
Sb8 0.7500 0.7725 0.0489  7 Zr 2.91-3.11, 1 H 3.07
H1 0.7500 0.6373 0.3599  4 Zr 2.13-2.18
H2 0.2500 0.3627 0.6401  4 Zr 2.13-2.18
H3 0.7500 0.1373 0.1401  4 Zr 2.13-2.18
H4 0.2500 0.8627 0.8599  4 Zr 2.13-2.18

2.
First-principles (PBE-GGA) data for an optimized crystal structure of CeBe2C2, as listed in Alexandria.

Calculated values
size of the total moment = 0.00 μB/cell
electronic total energy = -0.4734 Ry/atom
ΔE_f = -0.37 eV per formula unit
density = 5.5 g/cm3

a = 3.3770 Å, b = 3.3770 Å, c = 5.6119 Å
α = 90.00°, β = 90.00°, γ = 120.00°
Closest atoms and distances in Å follow each position.
Fractional coordinates of all 5 atoms:
Be1 0.3333 0.6667 0.6093  4 C 1.84-2.04
Be2 0.6667 0.3333 0.3907  4 C 1.84-2.04
C1 0.6667 0.3333 0.7179  4 Be 1.84-2.04
C2 0.3333 0.6667 0.2821  4 Be 1.84-2.04
Ce1 0.0000 0.0000 0.0000  6 C 2.51

3.
First-principles (PBE-GGA) data for an optimized crystal structure of TiPbCl3, as listed in Alexandria.

Calculated values
distance to the lowest polymorph of the same formula = 789 meV/atom
size of the total moment = 0.29 μB/cell
electronic total energy = -0.2511 Ry/atom
density = 3.4 g/cm3
raw formation energy = 12 meV/atom

a = 5.6030 Å, b = 5.6030 Å, c = 5.6030 Å
α = 90.00°, β = 90.00°, γ = 90.00°
Closest atoms and distances in Å follow each position.
Fractional coordinates of all 5 atoms:
Cl1 0.5000 0.0000 0.0000  2 Pb 2.80
Cl2 0.0000 0.5000 0.0000  2 Pb 2.80
Cl3 0.0000 0.0000 0.5000  2 Pb 2.80
Ti1 0.5000 0.5000 0.5000  12 Cl 3.96
Pb1 0.0000 0.0000 0.0000  6 Cl 2.80